## 1
This record from the Alexandria database describes a geometry-optimized InSbSCl2 structure. The functional is GGA-PBE.

space-group type: P4/mmm
crystal system: tetragonal

Cell: 5.1140 5.1140 5.3300 Å, 90.00 90.00 90.00°
Site moments in Bohr magnetons follow the coordinates.
Fractional coordinates of all 5 atoms:
Sb (0.5000, 0.5000, 0.5000)  0.69
S (0.0000, 0.0000, 0.5000)  -0.07
Cl (0.0000, 0.5000, 0.0000)  0.05
Cl (0.5000, 0.0000, 0.0000)  0.05
In (0.0000, 0.0000, 0.0000)  0.01

=====

## 2
This record from the Alexandria database describes a geometry-optimized InSbSCl2 structure. The functional is GGA-PBE.

space-group type: P4/mmm
crystal system: tetragonal

Cell: 5.4062 5.4062 5.1648 Å, 90.00 90.00 90.00°
Fractional coordinates of all 5 atoms:
Sb (0.0000, 0.0000, 0.0000)
S (0.0000, 0.0000, 0.5000)
Cl (0.0000, 0.5000, 0.0000)
Cl (0.5000, 0.0000, 0.0000)
In (0.5000, 0.5000, 0.5000)

=====

On energetic grounds, 2 is preferred over the next structure by 0.372 eV/atom.

=====

## 1
This record from the Alexandria database describes a geometry-optimized InSiSCl2 structure. The functional is GGA-PBE.

space-group type: P4/mmm
crystal system: tetragonal

Cell: 5.0693 5.0693 4.5532 Å, 90.00 90.00 90.00°
Fractional coordinates of all 5 atoms:
S (0.0000, 0.0000, 0.5000)
Cl (0.0000, 0.5000, 0.0000)
Cl (0.5000, 0.0000, 0.0000)
Si (0.0000, 0.0000, 0.0000)
In (0.5000, 0.5000, 0.5000)

=====

## 2
This record from the Alexandria database describes a geometry-optimized InSiSCl2 structure. The functional is GGA-PBE.

space-group type: P4/mmm
crystal system: tetragonal

Cell: 5.1607 5.1607 5.1738 Å, 90.00 90.00 90.00°
Site moments in Bohr magnetons follow the coordinates.
Fractional coordinates of all 5 atoms:
S (0.0000, 0.0000, 0.5000)  -0.05
Cl (0.0000, 0.5000, 0.0000)  0.00
Cl (0.5000, 0.0000, 0.0000)  0.00
Si (0.5000, 0.5000, 0.5000)  0.26
In (0.0000, 0.0000, 0.0000)  0.01

=====

On energetic grounds, 1 is preferred over the next structure by 0.553 eV/atom.

=====

## 1
This record from the Alexandria database describes a geometry-optimized InSiS2Cl structure. The functional is GGA-PBE.

space-group type: P4/mmm
crystal system: tetragonal

Cell: 4.6278 4.6278 4.8562 Å, 90.00 90.00 90.00°
Fractional coordinates of all 5 atoms:
S (0.0000, 0.5000, 0.0000)
S (0.5000, 0.0000, 0.0000)
Cl (0.0000, 0.0000, 0.5000)
Si (0.0000, 0.0000, 0.0000)
In (0.5000, 0.5000, 0.5000)

=====

## 2
This record from the Alexandria database describes a geometry-optimized InSiS2Cl structure. The functional is GGA-PBE.

space-group type: P4/mmm
crystal system: tetragonal

Cell: 5.1508 5.1508 4.9429 Å, 90.00 90.00 90.00°
Fractional coordinates of all 5 atoms:
S (0.0000, 0.5000, 0.0000)
S (0.5000, 0.0000, 0.0000)
Cl (0.0000, 0.0000, 0.5000)
Si (0.5000, 0.5000, 0.5000)
In (0.0000, 0.0000, 0.0000)

=====

On energetic grounds, 1 is preferred over the next structure by 0.582 eV/atom.

=====

## 1
This record from the Alexandria database describes a geometry-optimized InSnSCl2 structure. The functional is GGA-PBE.

space-group type: P4/mmm
crystal system: tetragonal

Cell: 5.1809 5.1809 4.9619 Å, 90.00 90.00 90.00°
Fractional coordinates of all 5 atoms:
S (0.0000, 0.0000, 0.5000)
Cl (0.0000, 0.5000, 0.0000)
Cl (0.5000, 0.0000, 0.0000)
Sn (0.0000, 0.0000, 0.0000)
In (0.5000, 0.5000, 0.5000)

=====

## 2
This record from the Alexandria database describes a geometry-optimized InSnSCl2 structure. The functional is GGA-PBE.

space-group type: P4/mmm
crystal system: tetragonal

Cell: 5.1300 5.1300 5.1158 Å, 90.00 90.00 90.00°
Fractional coordinates of all 5 atoms:
S (0.0000, 0.0000, 0.5000)
Cl (0.0000, 0.5000, 0.0000)
Cl (0.5000, 0.0000, 0.0000)
Sn (0.5000, 0.5000, 0.5000)
In (0.0000, 0.0000, 0.0000)

=====

On energetic grounds, 1 is preferred over the next structure by 0.173 eV/atom.

=====

## 1
This record from the Alexandria database describes a geometry-optimized SrInSCl2 structure. The functional is GGA-PBE.

space-group type: P4/mmm
crystal system: tetragonal

Cell: 5.6036 5.8659 5.6036 Å, 90.00 90.00 90.00°
Site moments in Bohr magnetons follow the coordinates.
Fractional coordinates of all 5 atoms:
Sr (0.0000, 0.0000, 0.0000)  0.00
S (0.0000, 0.5000, 0.0000)  0.52
Cl (0.0000, 0.0000, 0.5000)  0.01
Cl (0.5000, 0.0000, 0.0000)  0.03
In (0.5000, 0.5000, 0.5000)  0.02

=====

## 2
This record from the Alexandria database describes a geometry-optimized SrInSCl2 structure. The functional is GGA-PBE.

space-group type: P4/mmm
crystal system: tetragonal

Cell: 5.3124 5.3124 5.2267 Å, 90.00 90.00 90.00°
Fractional coordinates of all 5 atoms:
Sr (0.5000, 0.5000, 0.5000)
S (0.0000, 0.0000, 0.5000)
Cl (0.0000, 0.5000, 0.0000)
Cl (0.5000, 0.0000, 0.0000)
In (0.0000, 0.0000, 0.0000)

=====

On energetic grounds, 2 is preferred over the next structure by 0.071 eV/atom.

=====

## 1
This record from the Alexandria database describes a geometry-optimized TaInSCl2 structure. The functional is GGA-PBE.

space-group type: P4/mmm
crystal system: tetragonal

Cell: 5.0364 5.0364 5.1169 Å, 90.00 90.00 90.00°
Site moments in Bohr magnetons follow the coordinates.
Fractional coordinates of all 5 atoms:
Cl (0.0000, 0.5000, 0.0000)  0.02
Cl (0.5000, 0.0000, 0.0000)  0.02
S (0.0000, 0.0000, 0.5000)  -0.07
In (0.0000, 0.0000, 0.0000)  0.02
Ta (0.5000, 0.5000, 0.5000)  2.35

=====

## 2
This record from the Alexandria database describes a geometry-optimized TaInSCl2 structure. The functional is GGA-PBE.

space-group type: P4/mmm
crystal system: tetragonal

Cell: 4.9650 4.9650 4.8298 Å, 90.00 90.00 90.00°
Site moments in Bohr magnetons follow the coordinates.
Fractional coordinates of all 5 atoms:
Cl (0.0000, 0.5000, 0.0000)  0.01
Cl (0.5000, 0.0000, 0.0000)  0.01
S (0.0000, 0.0000, 0.5000)  -0.01
In (0.5000, 0.5000, 0.5000)  0.00
Ta (0.0000, 0.0000, 0.0000)  0.29

=====

On energetic grounds, 2 is preferred over the next structure by 1.252 eV/atom.